## KSrCr2 (PBE)

Data for an optimized crystal structure of KSrCr2.

```
KSrCr2
1.0
8.764 0.000 0.000
0.000 8.764 0.000
4.382 4.382 2.795
Sr K Cr
2 2 4
Direct
0.000 0.000 0.000 Sr
0.750 0.250 0.500 Sr
0.500 0.500 0.000 K
0.250 0.750 0.500 K
0.623 0.125 0.250 Cr
0.127 0.625 0.250 Cr
0.375 0.377 0.750 Cr
0.875 0.873 0.750 Cr
```

Excess energy over the best structure of this formula in the dataset: 1.447 eV per atom
Crystal system: tetragonal
Fermi-level density of states: 9.32 states/eV/f.u.
Space-group type: I-42d, No. 122
E: -3.379 eV/atom